Record 1
# GGA-PBEsol Al2CrRh, optimized geometry
# - Energy of formation from the pure elements: -48 kJ/mol of atoms
# - Polymorph energy (0 for the lowest one): 0.022 eV per atom
# - Final energy: -7.13 eV/atom
data_Al2CrRh
_cell_length_a 4.184
_cell_length_b 4.184
_cell_length_c 3.032
_cell_angle_alpha 90.00
_cell_angle_beta 90.00
_cell_angle_gamma 90.00
_space_group_name_H-M_alt 'P 4/m m m'
_space_group_IT_number 123
_space_group_name_Hall '-P 4 2'
loop_
_atom_site_label
_atom_site_fract_x
_atom_site_fract_y
_atom_site_fract_z
_atom_site_occupancy
Al1 0.000 0.500 0.000 1
Cr1 0.000 0.000 0.500 1
Rh1 0.500 0.500 0.500 1

***

Record 2
# GGA-PBEsol Pr6Fe13Si, optimized geometry
# - Formation energy (no corrections): -29 meV/atom
# - Final energy: -7.70 eV/atom
data_Pr6Fe13Si
_cell_length_a 7.847
_cell_length_b 7.847
_cell_length_c 22.817
_cell_angle_alpha 90.00
_cell_angle_beta 90.00
_cell_angle_gamma 90.00
_space_group_name_H-M_alt 'I 4/m c m'
_space_group_IT_number 140
_space_group_name_Hall '-I 4 2c'
loop_
_atom_site_label
_atom_site_fract_x
_atom_site_fract_y
_atom_site_fract_z
_atom_site_occupancy
Pr1 0.000 0.000 0.109 1
Pr2 0.167 0.333 0.188 1
Fe1 0.000 0.500 0.000 1
Fe2 0.066 0.209 0.500 1
Fe3 0.112 0.388 0.406 1
Fe4 0.180 0.320 0.059 1
Si1 0.000 0.000 0.250 1

***

Record 3
# GGA-PBEsol Sc3Se, optimized geometry
# - Formation energy (no corrections): -733 meV/atom
# - Polymorph energy (0 for the lowest one): 0.115 eV per atom
# - Final energy: -6.65 eV/atom
data_Sc3Se
_cell_length_a 3.4809
_cell_length_b 3.4809
_cell_length_c 25.8128
_cell_angle_alpha 90.00
_cell_angle_beta 90.00
_cell_angle_gamma 120.00
_space_group_name_H-M_alt 'R -3 m'
_space_group_IT_number 166
_space_group_name_Hall '-R 3 2"'
loop_
_atom_site_label
_atom_site_fract_x
_atom_site_fract_y
_atom_site_fract_z
_atom_site_occupancy
Sc1 0.0000 0.0000 0.0000 1
Sc2 0.0000 0.0000 0.2339 1
Se1 0.0000 0.0000 0.5000 1

***

Record 4
# GGA-PBEsol KLi2Te, optimized geometry
# - Formation energy (no corrections): -615 meV/atom
# - Final energy: -2.76 eV/atom
data_KLi2Te
_cell_length_a 7.804
_cell_length_b 4.490
_cell_length_c 8.034
_cell_angle_alpha 90.00
_cell_angle_beta 108.03
_cell_angle_gamma 90.00
_space_group_name_H-M_alt 'C 1 2/m 1'
_space_group_IT_number 12
loop_
_space_group_symop_operation_xyz
'x,y,z'
'-x,-y,-z'
'-x,y,-z'
'x,-y,z'
'x+1/2,y+1/2,z'
'-x+1/2,-y+1/2,-z'
'-x+1/2,y+1/2,-z'
'x+1/2,-y+1/2,z'
loop_
_atom_site_label
_atom_site_fract_x
_atom_site_fract_y
_atom_site_fract_z
_atom_site_occupancy
K1 0.000 0.000 0.000 1
Li1 0.202 0.000 0.611 1
Te1 0.000 0.500 0.500 1

***

Record 5
# GGA-PBEsol La2AlW, optimized geometry
# - Energy of formation from the pure elements: 38 kJ/mol of atoms
# - Final energy: -6.75 eV/atom
data_La2AlW
_cell_length_a 3.004
_cell_length_b 3.004
_cell_length_c 10.130
_cell_angle_alpha 90.00
_cell_angle_beta 90.00
_cell_angle_gamma 90.00
_space_group_name_H-M_alt 'P 4/m m m'
_space_group_IT_number 123
_space_group_name_Hall '-P 4 2'
loop_
_atom_site_label
_atom_site_fract_x
_atom_site_fract_y
_atom_site_fract_z
_atom_site_occupancy
La1 0.000 0.000 0.244 1
Al1 0.500 0.500 0.500 1
W1 0.500 0.500 0.000 1

***

Record 6
# GGA-PBEsol AlIn2Pt, optimized geometry
# - Energy of formation from the pure elements: -7 kJ/mol of atoms
# - Final energy: -4.33 eV/atom
data_AlIn2Pt
_cell_length_a 4.196
_cell_length_b 4.196
_cell_length_c 4.209
_cell_angle_alpha 90.00
_cell_angle_beta 90.00
_cell_angle_gamma 90.00
_space_group_name_H-M_alt 'P 4/m m m'
_space_group_IT_number 123
_space_group_name_Hall '-P 4 2'
loop_
_atom_site_label
_atom_site_fract_x
_atom_site_fract_y
_atom_site_fract_z
_atom_site_occupancy
Al1 0.000 0.000 0.000 1
In1 0.000 0.500 0.500 1
Pt1 0.500 0.500 0.000 1

***

Record 7
# GGA-PBEsol LiAg2Pb, optimized geometry
# - Energy of formation from the pure elements: -6 kJ/mol of atoms
# - Final energy: -3.21 eV/atom
data_LiAg2Pb
_cell_length_a 3.032
_cell_length_b 4.473
_cell_length_c 5.739
_cell_angle_alpha 90.00
_cell_angle_beta 103.39
_cell_angle_gamma 90.00
_space_group_name_H-M_alt 'P 1 2/m 1'
_space_group_IT_number 10
loop_
_space_group_symop_operation_xyz
'x,y,z'
'-x,-y,-z'
'-x,y,-z'
'x,-y,z'
loop_
_atom_site_label
_atom_site_fract_x
_atom_site_fract_y
_atom_site_fract_z
_atom_site_occupancy
Li1 0.000 0.000 0.000 1
Ag1 0.188 0.500 0.780 1
Pb1 0.500 0.000 0.500 1

***

Record 8
# GGA-PBEsol Cs2KSb2, optimized geometry
# - Formation energy (no corrections): 116 meV/atom
# - Final energy: -2.31 eV/atom
data_Cs2KSb2
_cell_length_a 6.133
_cell_length_b 6.133
_cell_length_c 13.591
_cell_angle_alpha 90.00
_cell_angle_beta 90.00
_cell_angle_gamma 90.00
_space_group_name_H-M_alt 'I 4/m m m'
_space_group_IT_number 139
_space_group_name_Hall '-I 4 2'
loop_
_atom_site_label
_atom_site_fract_x
_atom_site_fract_y
_atom_site_fract_z
_atom_site_occupancy
Cs1 0.000 0.000 0.127 1
K1 0.000 0.000 0.500 1
Sb1 0.000 0.500 0.250 1

***

Record 9
# GGA-PBEsol Mn2ZnMo, optimized geometry
# - Energy of formation from the pure elements: 32 kJ/mol of atoms
# - Final energy: -7.89 eV/atom
data_Mn2ZnMo
_cell_length_a 2.5823
_cell_length_b 2.5823
_cell_length_c 26.6297
_cell_angle_alpha 90.00
_cell_angle_beta 90.00
_cell_angle_gamma 120.00
_space_group_name_H-M_alt 'R 3 m'
_space_group_IT_number 160
_space_group_name_Hall 'R 3 -2"'
loop_
_atom_site_label
_atom_site_fract_x
_atom_site_fract_y
_atom_site_fract_z
_atom_site_occupancy
Mn1 0.0000 0.0000 0.0000 1
Mn2 0.0000 0.0000 0.2657 1
Zn1 0.0000 0.0000 0.8523 1
Mo1 0.0000 0.0000 0.7494 1

***

Record 10
# GGA-PBEsol K2NiBr, optimized geometry
# - Formation energy (no corrections): -115 meV/atom
# - Polymorph energy (0 for the lowest one): 0.061 eV per atom
# - Final energy: -2.69 eV/atom
data_K2NiBr
_cell_length_a 7.772
_cell_length_b 4.392
_cell_length_c 8.633
_cell_angle_alpha 90.00
_cell_angle_beta 106.61
_cell_angle_gamma 90.00
_space_group_name_H-M_alt 'C 1 2/m 1'
_space_group_IT_number 12
loop_
_space_group_symop_operation_xyz
'x,y,z'
'-x,-y,-z'
'-x,y,-z'
'x,-y,z'
'x+1/2,y+1/2,z'
'-x+1/2,-y+1/2,-z'
'-x+1/2,y+1/2,-z'
'x+1/2,-y+1/2,z'
loop_
_atom_site_label
_atom_site_fract_x
_atom_site_fract_y
_atom_site_fract_z
_atom_site_occupancy
K1 0.245 0.000 0.238 1
Ni1 0.000 0.000 0.500 1
Br1 0.000 0.500 0.000 1

***

Record 11
# GGA-PBEsol CdInSn2, optimized geometry
# - Energy of formation from the pure elements: 8 kJ/mol of atoms
# - Polymorph energy (0 for the lowest one): 0.013 eV per atom
# - Final energy: -3.09 eV/atom
data_CdInSn2
_cell_length_a 8.153
_cell_length_b 8.153
_cell_length_c 6.164
_cell_angle_alpha 90.00
_cell_angle_beta 90.00
_cell_angle_gamma 90.00
_space_group_name_H-M_alt 'I -4 2 d'
_space_group_IT_number 122
_space_group_name_Hall 'I -4 2bw'
loop_
_atom_site_label
_atom_site_fract_x
_atom_site_fract_y
_atom_site_fract_z
_atom_site_occupancy
Cd1 0.000 0.000 0.000 1
In1 0.000 0.000 0.500 1
Sn1 0.244 0.250 0.125 1

***

Record 12
# GGA-PBEsol BeTl2Re, optimized geometry
# - Energy of formation from the pure elements: 116 kJ/mol of atoms
# - Polymorph energy (0 for the lowest one): 0.626 eV per atom
# - Final energy: -4.44 eV/atom
data_BeTl2Re
_cell_length_a 6.577
_cell_length_b 6.577
_cell_length_c 6.577
_cell_angle_alpha 90.00
_cell_angle_beta 90.00
_cell_angle_gamma 90.00
_space_group_name_H-M_alt 'F m -3 m'
_space_group_IT_number 225
_space_group_name_Hall '-F 4 2 3'
loop_
_atom_site_label
_atom_site_fract_x
_atom_site_fract_y
_atom_site_fract_z
_atom_site_occupancy
Be1 0.000 0.000 0.000 1
Tl1 0.250 0.250 0.250 1
Re1 0.000 0.000 0.500 1

***

Record 13
# GGA-PBEsol CuIr, optimized geometry
# - Energy of formation from the pure elements: 7 kJ/mol of atoms
# - Final energy: -7.01 eV/atom
data_CuIr
_cell_length_a 2.705
_cell_length_b 2.705
_cell_length_c 7.004
_cell_angle_alpha 90.00
_cell_angle_beta 90.00
_cell_angle_gamma 90.00
_space_group_name_H-M_alt 'P 4/n m m'
_space_group_IT_number 129
loop_
_space_group_symop_operation_xyz
'x,y,z'
'-x,-y,-z'
'-y+1/2,x,z'
'y+1/2,-x,-z'
'-x+1/2,-y+1/2,z'
'x+1/2,y+1/2,-z'
'y,-x+1/2,z'
'-y,x+1/2,-z'
'x+1/2,-y,-z'
'-x+1/2,y,z'
'-y,-x,-z'
'y,x,z'
'-x,y+1/2,-z'
'x,-y+1/2,z'
'y+1/2,x+1/2,-z'
'-y+1/2,-x+1/2,z'
loop_
_atom_site_label
_atom_site_fract_x
_atom_site_fract_y
_atom_site_fract_z
_atom_site_occupancy
Cu1 0.250 0.250 0.113 1
Ir1 0.250 0.250 0.630 1

***

Record 14
# GGA-PBEsol Ca3FeSb, optimized geometry
# - Formation energy (no corrections): 432 meV/atom
# - Final energy: -3.55 eV/atom
data_Ca3FeSb
_cell_length_a 5.806
_cell_length_b 5.806
_cell_length_c 5.806
_cell_angle_alpha 90.00
_cell_angle_beta 90.00
_cell_angle_gamma 90.00
_space_group_name_H-M_alt 'P m -3 m'
_space_group_IT_number 221
_space_group_name_Hall '-P 4 2 3'
loop_
_atom_site_label
_atom_site_fract_x
_atom_site_fract_y
_atom_site_fract_z
_atom_site_occupancy
Ca1 0.000 0.000 0.500 1
Fe1 0.500 0.500 0.500 1
Sb1 0.000 0.000 0.000 1

***

Record 15
# GGA-PBEsol Y3In2Ga3O12, optimized geometry
# - Formation energy (no corrections): -2516 meV/atom
# - Final energy: -7.49 eV/atom
data_Y3In2Ga3O12
_cell_length_a 12.556
_cell_length_b 12.556
_cell_length_c 12.556
_cell_angle_alpha 90.00
_cell_angle_beta 90.00
_cell_angle_gamma 90.00
_space_group_name_H-M_alt 'I a -3 d'
_space_group_IT_number 230
_space_group_name_Hall '-I 4bd 2c 3'
loop_
_atom_site_label
_atom_site_fract_x
_atom_site_fract_y
_atom_site_fract_z
_atom_site_occupancy
Y1 0.000 0.250 0.125 1
In1 0.000 0.000 0.000 1
Ga1 0.000 0.250 0.375 1
O1 0.028 0.062 0.658 1

***

Record 16
# GGA-PBEsol Ho5Mg24, optimized geometry
# - Energy of formation from the pure elements: -4 kJ/mol of atoms
# - Final energy: -2.31 eV/atom
data_Ho5Mg24
_cell_length_a 11.143
_cell_length_b 11.143
_cell_length_c 11.143
_cell_angle_alpha 90.00
_cell_angle_beta 90.00
_cell_angle_gamma 90.00
_space_group_name_H-M_alt 'I -4 3 m'
_space_group_IT_number 217
_space_group_name_Hall 'I -4 2 3'
loop_
_atom_site_label
_atom_site_fract_x
_atom_site_fract_y
_atom_site_fract_z
_atom_site_occupancy
Ho1 0.000 0.000 0.000 1
Ho2 0.186 0.186 0.814 1
Mg1 0.033 0.356 0.356 1
Mg2 0.090 0.090 0.281 1

***

Record 17
# GGA-PBEsol RbBa3Cu, optimized geometry
# - Energy of formation from the pure elements: 10 kJ/mol of atoms
# - Final energy: -2.26 eV/atom
data_RbBa3Cu
_cell_length_a 6.432
_cell_length_b 6.432
_cell_length_c 6.432
_cell_angle_alpha 90.00
_cell_angle_beta 90.00
_cell_angle_gamma 90.00
_space_group_name_H-M_alt 'P m -3 m'
_space_group_IT_number 221
_space_group_name_Hall '-P 4 2 3'
loop_
_atom_site_label
_atom_site_fract_x
_atom_site_fract_y
_atom_site_fract_z
_atom_site_occupancy
Rb1 0.000 0.000 0.000 1
Ba1 0.000 0.500 0.500 1
Cu1 0.500 0.500 0.500 1

***

Record 18
# GGA-PBEsol TaRh2W, optimized geometry
# - Energy of formation from the pure elements: -32 kJ/mol of atoms
# - Polymorph energy (0 for the lowest one): 0.000 eV per atom
# - Final energy: -10.99 eV/atom
data_TaRh2W
_cell_length_a 5.541
_cell_length_b 7.727
_cell_length_c 2.777
_cell_angle_alpha 90.00
_cell_angle_beta 90.00
_cell_angle_gamma 90.00
_space_group_name_H-M_alt 'C m m m'
_space_group_IT_number 65
_space_group_name_Hall '-C 2 2'
loop_
_atom_site_label
_atom_site_fract_x
_atom_site_fract_y
_atom_site_fract_z
_atom_site_occupancy
Ta1 0.000 0.000 0.000 1
Rh1 0.250 0.250 0.500 1
W1 0.000 0.500 0.000 1

***

Record 19
# GGA-PBEsol LiSb4Rh, optimized geometry
# - Formation energy (no corrections): 541 meV/atom
# - Final energy: -4.18 eV/atom
data_LiSb4Rh
_cell_length_a 8.485
_cell_length_b 8.485
_cell_length_c 8.485
_cell_angle_alpha 90.00
_cell_angle_beta 90.00
_cell_angle_gamma 90.00
_space_group_name_H-M_alt 'F -4 3 m'
_space_group_IT_number 216
_space_group_name_Hall 'F -4 2 3'
loop_
_atom_site_label
_atom_site_fract_x
_atom_site_fract_y
_atom_site_fract_z
_atom_site_occupancy
Li1 0.000 0.000 0.000 1
Sb1 0.125 0.125 0.625 1
Rh1 0.250 0.250 0.250 1

***

Record 20
# GGA-PBEsol KAg2P, optimized geometry
# - Energy of formation from the pure elements: 44 kJ/mol of atoms
# - Final energy: -2.93 eV/atom
data_KAg2P
_cell_length_a 6.058
_cell_length_b 9.276
_cell_length_c 2.836
_cell_angle_alpha 90.00
_cell_angle_beta 90.00
_cell_angle_gamma 90.00
_space_group_name_H-M_alt 'C m m m'
_space_group_IT_number 65
_space_group_name_Hall '-C 2 2'
loop_
_atom_site_label
_atom_site_fract_x
_atom_site_fract_y
_atom_site_fract_z
_atom_site_occupancy
K1 0.000 0.000 0.000 1
Ag1 0.250 0.250 0.500 1
P1 0.000 0.500 0.000 1

***

Record 21
# GGA-PBEsol CaZr2Br, optimized geometry
# - Formation energy (no corrections): 69 meV/atom
# - Polymorph energy (0 for the lowest one): 0.241 eV per atom
# - Final energy: -5.48 eV/atom
data_CaZr2Br
_cell_length_a 4.033
_cell_length_b 4.033
_cell_length_c 6.266
_cell_angle_alpha 90.00
_cell_angle_beta 90.00
_cell_angle_gamma 90.00
_space_group_name_H-M_alt 'P 4/m m m'
_space_group_IT_number 123
_space_group_name_Hall '-P 4 2'
loop_
_atom_site_label
_atom_site_fract_x
_atom_site_fract_y
_atom_site_fract_z
_atom_site_occupancy
Ca1 0.000 0.000 0.000 1
Zr1 0.000 0.500 0.500 1
Br1 0.500 0.500 0.000 1

***

Record 22
# GGA-PBEsol Ta2RhBr, optimized geometry
# - Formation energy (no corrections): 105 meV/atom
# - Final energy: -8.67 eV/atom
data_Ta2RhBr
_cell_length_a 2.9681
_cell_length_b 2.9681
_cell_length_c 26.2774
_cell_angle_alpha 90.00
_cell_angle_beta 90.00
_cell_angle_gamma 120.00
_space_group_name_H-M_alt 'R -3 m'
_space_group_IT_number 166
_space_group_name_Hall '-R 3 2"'
loop_
_atom_site_label
_atom_site_fract_x
_atom_site_fract_y
_atom_site_fract_z
_atom_site_occupancy
Ta1 0.0000 0.0000 0.2480 1
Rh1 0.0000 0.0000 0.5000 1
Br1 0.0000 0.0000 0.0000 1